The following is a PBE-GGA calculation of crystalline ScVGa2Bi at its relaxed geometry, from Alexandria.

The structure in POSCAR format:
```
ScVGa2Bi
1.0
-1.022 2.445 -4.689
-1.632 -4.469 -1.974
-5.005 1.094 1.661
Bi V Ga Sc
1 1 2 1
Direct
0.000 0.000 0.000 Bi
0.000 0.500 0.000 V
0.500 0.000 0.000 Ga
0.000 0.000 0.500 Ga
0.500 0.500 0.500 Sc
```

- DFT total energy (eV/atom) = -4.05
- size of the total moment (μB per atom) = 0.709
- E_form (eV/atom) = 1.027